{"formula": "AcPrTmPb", "functional": "PBE", "state": "optimized geometry", "dft_energy_ry_per_atom": -0.3185, "ef_kcal_per_mol_atoms": -1.5, "m_tot_mub_per_fu": 0.00, "lattice": [[8.030, 0.000, 0.000], [0.000, 8.030, 0.000], [0.000, 0.000, 8.030]], "species": ["Ac", "Ac", "Ac", "Ac", "Pr", "Pr", "Pr", "Pr", "Tm", "Tm", "Tm", "Tm", "Pb", "Pb", "Pb", "Pb"], "fractional_positions": [[0.000, 0.000, 0.000], [0.000, 0.500, 0.500], [0.500, 0.000, 0.500], [0.500, 0.500, 0.000], [0.250, 0.250, 0.750], [0.250, 0.750, 0.250], [0.750, 0.250, 0.250], [0.750, 0.750, 0.750], [0.250, 0.250, 0.250], [0.250, 0.750, 0.750], [0.750, 0.250, 0.750], [0.750, 0.750, 0.250], [0.000, 0.000, 0.500], [0.000, 0.500, 0.000], [0.500, 0.000, 0.000], [0.500, 0.500, 0.500]]}